Density functional theory data (GGA-PBEsol) for a relaxed structure of KCr2Cu.

Calculated values
* formation energy: 0.75 eV per atom
* density of states at the Fermi level: 2.088 states/eV per cell
* energy relative to the lowest polymorph listed for this composition: 0.000 eV per atom
* uncorrected energy: -5.740 eV per atom
* crystal system: tetragonal

Lattice parameters (Å, degrees): 2.992 2.992 7.967 90.00 90.00 90.00
Last column: magnetic moment on the atom in μB.
Sites, in units of the cell vectors:
Cu: 0.000 0.000 0.424  -0.08
Cr: 0.500 0.500 0.237  -2.02
Cr: 0.000 0.000 0.098  2.38
K: 0.500 0.500 0.742  0.04